Record 1
A plane-wave DFT calculation with PBEsol was carried out for a relaxed GaH6C2SeI3 crystal.

## Properties
Density ... 3.4 Mg/m³
Size of the total moment ... 0.000 μB/atom
VASP energy ... -4.210 eV per atom
Crystal system ... monoclinic

Lattice parameters (Å, degrees): 7.6405 11.5177 12.6912 90.00 90.00 101.17
Fractional coordinates of all 52 atoms:
Se 0.9003 0.8159 0.2912
Se 0.4003 0.3159 0.2088
Se 0.0997 0.1841 0.7088
Se 0.5997 0.6841 0.7912
C 0.4814 0.7324 0.6676
C 0.2935 0.1590 0.1578
C 0.7935 0.6590 0.3422
C 0.0186 0.7676 0.1676
C 0.7065 0.8410 0.8422
C 0.2065 0.3410 0.6578
C 0.9814 0.2324 0.8324
C 0.5186 0.2676 0.3324
I 0.7520 0.0449 0.0969
I 0.0597 0.5987 0.8590
I 0.4403 0.9013 0.3590
I 0.9963 0.1817 0.4055
I 0.5597 0.0987 0.6410
I 0.4963 0.6817 0.0945
I 0.5037 0.3183 0.9055
I 0.2520 0.5449 0.4031
I 0.0037 0.8183 0.5945
I 0.9403 0.4013 0.1410
I 0.2480 0.9551 0.9031
I 0.7480 0.4551 0.5969
H 0.3716 0.7738 0.6955
H 0.2733 0.3930 0.7242
H 0.5785 0.7947 0.6208
H 0.1971 0.1711 0.0964
H 0.6284 0.2262 0.3045
H 0.1284 0.7262 0.1955
H 0.8716 0.2738 0.8045
H 0.5711 0.3485 0.3774
H 0.5985 0.8804 0.8756
H 0.4015 0.1196 0.1244
H 0.7267 0.6070 0.2758
H 0.8029 0.8289 0.9036
H 0.2267 0.1070 0.2242
H 0.4289 0.6515 0.6226
H 0.0785 0.2947 0.8792
H 0.0985 0.3804 0.6244
H 0.9289 0.1515 0.8774
H 0.0711 0.8485 0.1226
H 0.9215 0.7053 0.1208
H 0.3029 0.3289 0.5964
H 0.7733 0.8930 0.7758
H 0.6971 0.6711 0.4036
H 0.9015 0.6196 0.3756
H 0.4215 0.2053 0.3792
Ga 0.3702 0.1382 0.7959
Ga 0.6298 0.8618 0.2041
Ga 0.1298 0.3618 0.2959
Ga 0.8702 0.6382 0.7041

***

Record 2
A plane-wave DFT calculation with PBEsol was carried out for a relaxed GaH20C2S2NO14 crystal.

## Properties
Energy above the lowest structure with this stoichiometry ... 0.0 meV per atom
Density ... 1.8 Mg/m³
Size of the total moment ... 0.006 μB/atom
Crystal system ... monoclinic

Lattice parameters (Å, degrees): 6.4425 10.3402 11.6799 90.00 99.39 90.00
Fractional coordinates of all 80 atoms:
H 0.3065 0.2714 0.3818
H 0.8129 0.4050 0.3289
H 0.4764 0.8522 0.6150
H 0.6707 0.6320 0.4949
H 0.9764 0.1478 0.1150
H 0.2056 0.8091 0.5652
H 0.6159 0.9452 0.8825
H 0.2424 0.2001 0.9933
H 0.2806 0.9157 0.0961
H 0.3710 0.5537 0.1184
H 0.8532 0.0633 0.3554
H 0.7806 0.0843 0.5961
H 0.8350 0.7829 0.1537
H 0.3960 0.6857 0.6168
H 0.8186 0.3115 0.9095
H 0.7424 0.7999 0.4933
H 0.6824 0.2274 0.6192
H 0.6760 0.9029 0.1739
H 0.1622 0.2856 0.8584
H 0.6564 0.2824 0.3477
H 0.1159 0.0548 0.3825
H 0.2130 0.4155 0.4050
H 0.8831 0.1517 0.9052
H 0.1824 0.7726 0.1192
H 0.3350 0.2171 0.6537
H 0.6343 0.5638 0.1475
H 0.7130 0.5845 0.9050
H 0.1707 0.3680 0.9949
H 0.8960 0.3143 0.1168
H 0.1564 0.7176 0.8477
H 0.3532 0.9367 0.8554
H 0.3186 0.6885 0.4095
H 0.1343 0.4362 0.6475
H 0.3831 0.8483 0.4052
H 0.8710 0.4463 0.6184
H 0.8065 0.7286 0.8818
H 0.6622 0.7144 0.3584
H 0.3129 0.5950 0.8289
H 0.7056 0.1909 0.0652
H 0.1760 0.0971 0.6739
O 0.7081 0.8347 0.1173
O 0.3202 0.9963 0.3470
O 0.9486 0.7937 0.7970
O 0.7312 0.6766 0.9359
O 0.0035 0.4110 0.5923
O 0.2081 0.1653 0.6173
O 0.7587 0.1766 0.5649
O 0.2803 0.6636 0.8847
O 0.8161 0.9462 0.6450
O 0.1812 0.5562 0.3555
O 0.4849 0.9095 0.9092
O 0.0452 0.7120 0.2088
O 0.3161 0.0538 0.1450
O 0.8202 0.0037 0.8470
O 0.2587 0.8234 0.0649
O 0.3430 0.4818 0.7355
O 0.5035 0.5890 0.0923
O 0.6484 0.0116 0.2704
O 0.4486 0.2063 0.2970
O 0.6632 0.4994 0.6517
O 0.1632 0.5006 0.1517
O 0.5452 0.2880 0.7088
O 0.6812 0.4438 0.8555
O 0.2312 0.3234 0.4359
O 0.1484 0.9884 0.7704
O 0.8430 0.5182 0.2355
O 0.7803 0.3364 0.3847
O 0.9849 0.0905 0.4092
S 0.0589 0.5707 0.2361
S 0.5589 0.4293 0.7361
S 0.9328 0.9327 0.7641
S 0.4328 0.0673 0.2641
Ga 0.4944 0.7492 0.0007
Ga 0.9944 0.2508 0.5007
C 0.3702 0.7783 0.5704
C 0.1388 0.2756 0.9491
C 0.6388 0.7244 0.4491
C 0.8702 0.2217 0.0704
N 0.9176 0.2387 0.9515
N 0.4176 0.7613 0.4515